An optimized crystal structure of ReNiMo2, computed with PBE.

abc: 2.650 2.650 8.289
angles: 90.00 90.00 90.00
Atoms (fractional coordinates):
Re 0.000 0.000 0.000
Ni 0.500 0.500 0.780
Mo 0.000 0.000 0.545
Mo 0.500 0.500 0.267

Properties
Its density is 12.463 g/cm3. The total energy comes out at -39.281 eV for the cell shown. The formation enthalpy at 0 K is 153 meV/atom. As for the distance to the lowest polymorph of the same formula: 127.2 meV per atom. Its symmetry is No. 99.

=====

An optimized crystal structure of Cd2SiMo, computed with PBE.

abc: 5.181 5.181 5.181
angles: 134.28 134.28 66.65
Atoms (fractional coordinates):
Cd 0.000 0.000 0.000
Cd 0.750 0.250 0.500
Si 0.500 0.500 0.000
Mo 0.250 0.750 0.500

Properties
Its density is 8.256 g/cm3. The total energy comes out at -16.564 eV for the cell shown. Its uncorrected formation energy is 0.380 eV per atom. Its symmetry is No. 119.

=====

An optimized crystal structure of Ce2Al4ZnIr3, computed with PBE.

abc: 4.131 4.131 10.902
angles: 90.00 90.00 90.00
Atoms (fractional coordinates):
Ce 0.000 0.500 0.242
Ce 0.500 0.000 0.758
Al 0.000 0.000 0.000
Al 0.000 0.500 0.632
Al 0.500 0.000 0.368
Al 0.500 0.500 0.000
Zn 0.000 0.000 0.500
Ir 0.000 0.500 0.862
Ir 0.500 0.000 0.138
Ir 0.500 0.500 0.500

Properties
Its density is 9.196 g/cm3. The total energy comes out at -61.879 eV for the cell shown. The formation enthalpy at 0 K is -718 meV/atom. Its symmetry is No. 115.

=====

An optimized crystal structure of Co3Sb, computed with PBE.

abc: 4.481 4.481 4.346
angles: 102.79 102.79 38.83
Atoms (fractional coordinates):
Co 0.000 0.000 0.000
Co 0.257 0.257 0.777
Co 0.743 0.743 0.223
Sb 0.500 0.500 0.500

Properties
Its density is 9.320 g/cm3. The total energy comes out at -24.630 eV for the cell shown. Its uncorrected formation energy is 0.202 eV per atom. Its symmetry is No. 12.

=====

An optimized crystal structure of MgP2, computed with PBE.

abc: 5.316 5.316 7.350
angles: 104.74 104.74 36.90
Atoms (fractional coordinates):
Mg 0.000 0.000 0.000
Mg 0.677 0.677 0.503
P 0.149 0.149 0.758
P 0.352 0.352 0.744
P 0.422 0.422 0.258
P 0.770 0.770 0.202

Properties
Its density is 2.385 g/cm3. The total energy comes out at -25.206 eV for the cell shown. The formation enthalpy at 0 K is -63 meV/atom. Its symmetry is No. 8.

=====

An optimized crystal structure of Na2SrCdH, computed with PBE.

abc: 5.005 5.005 5.132
angles: 90.00 90.00 90.00
Atoms (fractional coordinates):
Na 0.000 0.500 0.000
Na 0.500 0.000 0.000
Sr 0.000 0.000 0.500
Cd 0.500 0.500 0.500
H 0.000 0.000 0.000

Properties
Its density is 3.190 g/cm3. The total energy comes out at -9.368 eV for the cell shown. Its symmetry is No. 123.

=====

An optimized crystal structure of Al4C3, computed with PBE.

abc: 4.361 4.361 4.810
angles: 90.00 90.00 120.00
Atoms (fractional coordinates):
Al 0.000 0.000 0.244
Al 0.000 0.000 0.756
Al 0.333 0.667 0.500
Al 0.667 0.333 0.500
C 0.000 0.500 0.000
C 0.500 0.000 0.000
C 0.500 0.500 0.000

Properties
Its density is 3.017 g/cm3. The total energy comes out at -31.035 eV for the cell shown. The formation enthalpy at 0 K is 1658 meV/atom. As for the distance to the lowest polymorph of the same formula: 1748.9 meV per atom. Its symmetry is No. 191.

=====

An optimized crystal structure of LaHf3N, computed with PBE.

abc: 4.640 4.640 4.640
angles: 90.00 90.00 90.00
Atoms (fractional coordinates):
La 0.000 0.000 0.000
Hf 0.000 0.500 0.500
Hf 0.500 0.000 0.500
Hf 0.500 0.500 0.000
N 0.500 0.500 0.500

Properties
Its density is 11.441 g/cm3. The total energy comes out at -45.071 eV for the cell shown. Its uncorrected formation energy is -0.392 eV per atom. As for the distance to the lowest polymorph of the same formula: 0.0 meV per atom. Its symmetry is No. 221.